# AcSmCoAg, relaxed, DFT PBE
data_AcSmCoAg
_chemical_formula_sum 'Ac4 Sm4 Co4 Ag4'
_space_group_name_H-M_alt 'F -4 3 m'
_space_group_IT_number 216
_space_group_name_Hall 'F -4 2 3'
_cell_length_a 7.404
_cell_length_b 7.404
_cell_length_c 7.404
_cell_angle_alpha 90.00
_cell_angle_beta 90.00
_cell_angle_gamma 90.00
loop_
_atom_site_label
_atom_site_fract_x
_atom_site_fract_y
_atom_site_fract_z
Ac1 0.000 0.000 0.000
Sm1 0.000 0.000 0.500
Co1 0.250 0.250 0.250
Ag1 0.250 0.250 0.750
# theoretical density = 8.90 g cm⁻³
# crystal system = cubic
# energy = -18.79 eV per formula unit
# density of states at the Fermi level = 17.1 states/eV per cell

=====

# AcTmCoAg, relaxed, DFT PBE
data_AcTmCoAg
_chemical_formula_sum 'Ac4 Tm4 Co4 Ag4'
_space_group_name_H-M_alt 'F -4 3 m'
_space_group_IT_number 216
_space_group_name_Hall 'F -4 2 3'
_cell_length_a 7.299
_cell_length_b 7.299
_cell_length_c 7.299
_cell_angle_alpha 90.00
_cell_angle_beta 90.00
_cell_angle_gamma 90.00
loop_
_atom_site_label
_atom_site_fract_x
_atom_site_fract_y
_atom_site_fract_z
Ac1 0.000 0.000 0.000
Tm1 0.000 0.000 0.500
Co1 0.250 0.250 0.250
Ag1 0.250 0.250 0.750
# theoretical density = 9.61 g cm⁻³
# crystal system = cubic
# energy = -18.63 eV per formula unit
# density of states at the Fermi level = 14.7 states/eV per cell